# NaNbO3, optimized geometry, DFT PBEsol
# magnetic moment = 0.001 μB/cell
# total energy = -8.01 eV/atom
# N(E_F) = 0.0 states/eV/f.u.
data_NaNbO3
_space_group_name_H-M_alt 'P 1'
_space_group_IT_number 1
_cell_length_a 5.369
_cell_length_b 5.369
_cell_length_c 6.061
_cell_angle_alpha 63.71
_cell_angle_beta 63.71
_cell_angle_gamma 60.00
loop_
_space_group_symop_operation_xyz
'x,y,z'
loop_
_atom_site_label
_atom_site_type_symbol
_atom_site_fract_x
_atom_site_fract_y
_atom_site_fract_z
_atom_site_occupancy
Na1 Na 0.642 0.642 0.075 1
Na2 Na 0.358 0.358 0.925 1
Nb1 Nb 0.851 0.851 0.446 1
Nb2 Nb 0.149 0.149 0.554 1
O1 O 0.813 0.440 0.718 1
O2 O 0.440 0.029 0.718 1
O3 O 0.029 0.813 0.718 1
O4 O 0.187 0.560 0.282 1
O5 O 0.560 0.971 0.282 1
O6 O 0.971 0.187 0.282 1